The following is a PBE-GGA calculation of a relaxed Ce5HoTe6 crystal, from Alexandria via LeMat-Bulk.

Cell lengths 7.7444, 7.7444, 7.7157 Å; angles 99.65, 99.65, 120.12 degrees
Last column: nearest neighbours and their distance in Å.
Element x y z (fractional)
Ce 0.0000 0.0000 0.0000  6 Te 3.16-3.21
Ce 0.1653 0.8347 0.5000  6 Te 3.16-3.17
Ce 0.3284 0.6716 0.0000  6 Te 3.16-3.18
Ce 0.6716 0.3284 0.0000  6 Te 3.16-3.18
Ce 0.8347 0.1653 0.5000  6 Te 3.16-3.17
Ho 0.5000 0.5000 0.5000  6 Te 3.08-3.10
Te 0.0935 0.4194 0.2564  1 Ho 3.08, 5 Ce 3.16-3.18
Te 0.2584 0.2584 0.7497  1 Ho 3.10, 5 Ce 3.17-3.21
Te 0.4194 0.0935 0.2564  1 Ho 3.08, 5 Ce 3.16-3.18
Te 0.5806 0.9065 0.7436  1 Ho 3.08, 5 Ce 3.16-3.18
Te 0.7416 0.7416 0.2503  1 Ho 3.10, 5 Ce 3.17-3.21
Te 0.9065 0.5806 0.7436  1 Ho 3.08, 5 Ce 3.16-3.18

Properties
Calculated volume ... 377.03 Å³/cell
Uncorrected energy ... -0.4243 Ry/atom
Density of states at the Fermi level ... 36.3 states/eV/f.u.
Mass density ... 7.18 g/cm3

=====

The following is a PBE-GGA calculation of a relaxed RbLi4Eu crystal, from Alexandria via LeMat-Bulk.

Cell lengths 6.5800, 6.5800, 6.5800 Å; angles 60.00, 60.00, 60.00 degrees
Last column: nearest neighbours and their distance in Å.
Element x y z (fractional)
Rb 0.0000 0.0000 0.0000  12 Li 3.86, 4 Eu 4.03
Li 0.3772 0.3772 0.3772  6 Li 3.23-3.35
Li 0.3772 0.3772 0.8684  6 Li 3.23-3.35
Li 0.3772 0.8684 0.3772  6 Li 3.23-3.35
Li 0.8684 0.3772 0.3772  6 Li 3.23-3.35
Eu 0.7500 0.7500 0.7500  12 Li 3.85, 4 Rb 4.03

Properties
Calculated volume ... 201.45 Å³/cell
Uncorrected energy ... -0.2204 Ry/atom
Density of states at the Fermi level ... 4.9 states/eV/f.u.
Mass density ... 2.19 g/cm3

=====

The following is a PBE-GGA calculation of a relaxed YFe3As crystal, from Alexandria via LeMat-Bulk.

Cell lengths 4.7244, 4.7244, 4.7244 Å; angles 90.00, 90.00, 90.00 degrees
Last column: nearest neighbours and their distance in Å.
Element x y z (fractional)
Y 0.0000 0.0000 0.0000  6 Fe 2.36
Fe 0.0000 0.0000 0.5000  2 Y 2.36
Fe 0.0000 0.5000 0.0000  2 Y 2.36
Fe 0.5000 0.0000 0.0000  2 Y 2.36
As 0.5000 0.5000 0.5000  12 Fe 3.34

Properties
Calculated volume ... 105.45 Å³/cell
Density of states at the Fermi level ... 5.8 states/eV/f.u.
Mass density ... 5.22 g/cm3
ΔE to the lowest computed polymorph ... 1.431 eV per atom

=====

The following is a PBE-GGA calculation of a relaxed Zn2CuNi6 crystal, from Alexandria via LeMat-Bulk.

Cell lengths 4.3472, 4.3472, 7.5475 Å; angles 105.68, 105.68, 49.28 degrees
Last column: nearest neighbours and their distance in Å.
Element x y z (fractional)
Zn 0.1702 0.1702 0.2239  10 Ni 2.51-2.55, 2 Cu 2.57
Zn 0.8298 0.8298 0.7761  10 Ni 2.51-2.55, 2 Cu 2.57
Cu 0.5000 0.5000 0.0000  8 Ni 2.53-2.55, 4 Zn 2.57
Ni 0.1631 0.1631 0.5538  9 Ni 2.46-2.55, 3 Zn 2.51-2.55
Ni 0.1645 0.1645 0.8858  5 Ni 2.50-2.59, 4 Zn 2.51-2.54, 3 Cu 2.53
Ni 0.4975 0.4975 0.6613  8 Ni 2.45-2.56, 3 Zn 2.51-2.54, 1 Cu 2.55
Ni 0.5025 0.5025 0.3387  8 Ni 2.45-2.56, 3 Zn 2.51-2.54, 1 Cu 2.55
Ni 0.8355 0.8355 0.1142  5 Ni 2.50-2.59, 4 Zn 2.51-2.54, 3 Cu 2.53
Ni 0.8369 0.8369 0.4462  9 Ni 2.46-2.55, 3 Zn 2.51-2.55

Properties
Calculated volume ... 103.21 Å³/cell
Density of states at the Fermi level ... 10.4 states/eV/f.u.
Mass density ... 8.79 g/cm3
ΔE to the lowest computed polymorph ... 0.000 eV per atom

=====

The following is a PBE-GGA calculation of a relaxed BaLaY crystal, from Alexandria via LeMat-Bulk.

Cell lengths 3.8423, 3.8423, 9.6016 Å; angles 90.00, 90.00, 120.00 degrees
Last column: nearest neighbours and their distance in Å.
Element x y z (fractional)
Ba 0.0000 0.0000 0.0000  6 Ba 3.84, 3 Y 3.98, 3 La 4.14
La 0.3333 0.6667 0.3641  3 Y 3.58, 6 La 3.84
Y 0.6667 0.3333 0.6564  3 La 3.58, 6 Y 3.84, 3 Ba 3.98

Properties
Calculated volume ... 122.76 Å³/cell
Density of states at the Fermi level ... 5.3 states/eV/f.u.
Mass density ... 4.94 g/cm3
ΔE to the lowest computed polymorph ... 0.007 eV per atom

=====

The following is a PBE-GGA calculation of a relaxed SbMo2Cl crystal, from Alexandria via LeMat-Bulk.

Cell lengths 8.6039, 8.6039, 8.6039 Å; angles 20.78, 20.78, 20.78 degrees
Last column: nearest neighbours and their distance in Å.
Element x y z (fractional)
Sb 0.0000 0.0000 0.0000  6 Mo 2.79, 6 Sb 3.10
Mo 0.2486 0.2486 0.2486  3 Cl 2.74, 3 Sb 2.79
Mo 0.7514 0.7514 0.7514  3 Cl 2.74, 3 Sb 2.79
Cl 0.5000 0.5000 0.5000  6 Mo 2.74

Properties
Calculated volume ... 70.20 Å³/cell
Density of states at the Fermi level ... 6.4 states/eV/f.u.
Mass density ... 8.26 g/cm3
ΔE to the lowest computed polymorph ... 0.582 eV per atom

=====

The following is a PBE-GGA calculation of a relaxed PuH2IO8 crystal, from Alexandria via LeMat-Bulk.

Cell lengths 4.8627, 5.2969, 6.5588 Å; angles 90.96, 98.55, 91.76 degrees
Last column: nearest neighbours and their distance in Å.
Element x y z (fractional)
Pu 0.0000 0.0000 0.0000  2 O 1.77
H 0.4429 0.2361 0.5964  1 O 1.01
H 0.5571 0.7639 0.4036  1 O 1.01
I 0.0000 0.0000 0.5000  6 O 1.90-1.92
O 0.1924 0.8462 0.7372  1 I 1.90
O 0.2176 0.8533 0.3115  1 H 1.75, 1 I 1.91
O 0.2404 0.2593 0.0195  1 Pu 1.77
O 0.2511 0.2899 0.5378  1 H 1.01
O 0.7489 0.7101 0.4622  1 H 1.01
O 0.7596 0.7407 0.9805  1 Pu 1.77
O 0.7824 0.1467 0.6885  1 H 1.75, 1 I 1.91
O 0.8076 0.1538 0.2628  1 I 1.90

Properties
Calculated volume ... 166.94 Å³/cell
Uncorrected energy ... -0.4558 Ry/atom
Density of states at the Fermi level ... 7.0 states/eV/f.u.
Mass density ... 4.98 g/cm3